Entry 1:
# PBE-GGA AcTmCu2, optimized geometry
# Density = 9.29 Mg/m³
# Polymorph energy (0 for the lowest one) = 0.00 kJ/mol of atoms
# Formation energy from the elements = -0.1696 eV per atom
data_AcTmCu2
_space_group_name_H-M_alt 'P 4/m m m'
_space_group_IT_number 123
_space_group_name_Hall '-P 4 2'
_cell_length_a 3.592
_cell_length_b 3.592
_cell_length_c 7.243
_cell_angle_alpha 90.00
_cell_angle_beta 90.00
_cell_angle_gamma 90.00
loop_
_atom_site_label
_atom_site_type_symbol
_atom_site_fract_x
_atom_site_fract_y
_atom_site_fract_z
_atom_site_occupancy
Ac1 Ac 0.000 0.000 0.000 1
Tm1 Tm 0.000 0.000 0.500 1
Cu1 Cu 0.500 0.500 0.297 1

Entry 2:
# PBE-GGA AcTmZnCu, optimized geometry
# Density = 8.72 Mg/m³
# Formation energy from the elements = -0.1702 eV per atom
data_AcTmZnCu
_space_group_name_H-M_alt 'F -4 3 m'
_space_group_IT_number 216
_space_group_name_Hall 'F -4 2 3'
_cell_length_a 7.367
_cell_length_b 7.367
_cell_length_c 7.367
_cell_angle_alpha 90.00
_cell_angle_beta 90.00
_cell_angle_gamma 90.00
loop_
_atom_site_label
_atom_site_type_symbol
_atom_site_fract_x
_atom_site_fract_y
_atom_site_fract_z
_atom_site_occupancy
Ac1 Ac 0.000 0.000 0.000 1
Tm1 Tm 0.000 0.000 0.500 1
Zn1 Zn 0.250 0.250 0.250 1
Cu1 Cu 0.250 0.250 0.750 1

Entry 3:
# PBE-GGA AcVCu, optimized geometry
# Density = 8.38 Mg/m³
# Formation energy from the elements = 0.3129 eV per atom
data_AcVCu
_space_group_name_H-M_alt 'P 4/m m m'
_space_group_IT_number 123
_space_group_name_Hall '-P 4 2'
_cell_length_a 3.574
_cell_length_b 3.574
_cell_length_c 10.592
_cell_angle_alpha 90.00
_cell_angle_beta 90.00
_cell_angle_gamma 90.00
loop_
_atom_site_label
_atom_site_type_symbol
_atom_site_fract_x
_atom_site_fract_y
_atom_site_fract_z
_atom_site_occupancy
Ac1 Ac 0.000 0.000 0.192 1
V1 V 0.500 0.500 0.409 1
Cu1 Cu 0.000 0.000 0.500 1
Cu2 Cu 0.500 0.500 0.000 1

Entry 4:
# PBE-GGA AcYCu3, optimized geometry
# Density = 7.49 Mg/m³
# Formation energy from the elements = -0.2093 eV per atom
data_AcYCu3
_space_group_name_H-M_alt 'C m c m'
_space_group_IT_number 63
_space_group_name_Hall '-C 2c 2'
_cell_length_a 3.971
_cell_length_b 25.691
_cell_length_c 4.401
_cell_angle_alpha 90.00
_cell_angle_beta 90.00
_cell_angle_gamma 90.00
loop_
_atom_site_label
_atom_site_type_symbol
_atom_site_fract_x
_atom_site_fract_y
_atom_site_fract_z
_atom_site_occupancy
Ac1 Ac 0.000 0.074 0.250 1
Y1 Y 0.000 0.207 0.750 1
Cu1 Cu 0.000 0.322 0.750 1
Cu2 Cu 0.000 0.376 0.250 1
Cu3 Cu 0.000 0.475 0.250 1

Entry 5:
# PBE-GGA AcYCu4, optimized geometry
# Density = 8.32 Mg/m³
# Polymorph energy (0 for the lowest one) = 16.06 kJ/mol of atoms
# Formation energy from the elements = -0.0352 eV per atom
data_AcYCu4
_space_group_name_H-M_alt 'F -4 3 m'
_space_group_IT_number 216
_space_group_name_Hall 'F -4 2 3'
_cell_length_a 7.692
_cell_length_b 7.692
_cell_length_c 7.692
_cell_angle_alpha 90.00
_cell_angle_beta 90.00
_cell_angle_gamma 90.00
loop_
_atom_site_label
_atom_site_type_symbol
_atom_site_fract_x
_atom_site_fract_y
_atom_site_fract_z
_atom_site_occupancy
Ac1 Ac 0.000 0.000 0.000 1
Y1 Y 0.250 0.250 0.750 1
Cu1 Cu 0.122 0.122 0.378 1

Entry 6:
# PBE-GGA Ac2YCu, optimized geometry
# Density = 7.58 Mg/m³
# Polymorph energy (0 for the lowest one) = 0.00 kJ/mol of atoms
# Formation energy from the elements = -0.0026 eV per atom
data_Ac2YCu
_space_group_name_H-M_alt 'P 4/m m m'
_space_group_IT_number 123
_space_group_name_Hall '-P 4 2'
_cell_length_a 3.841
_cell_length_b 3.841
_cell_length_c 9.010
_cell_angle_alpha 90.00
_cell_angle_beta 90.00
_cell_angle_gamma 90.00
loop_
_atom_site_label
_atom_site_type_symbol
_atom_site_fract_x
_atom_site_fract_y
_atom_site_fract_z
_atom_site_occupancy
Ac1 Ac 0.000 0.000 0.205 1
Y1 Y 0.500 0.500 0.500 1
Cu1 Cu 0.500 0.500 0.000 1